# In2WAu, optimized geometry, DFT PBE-GGA
data_In2WAu
_cell_length_a 3.3851
_cell_length_b 4.9776
_cell_length_c 9.2464
_cell_angle_alpha 90.00
_cell_angle_beta 90.00
_cell_angle_gamma 90.00
_space_group_name_H-M_alt 'C m m m'
_space_group_IT_number 65
_space_group_name_Hall '-C 2 2'
loop_
_atom_site_label
_atom_site_fract_x
_atom_site_fract_y
_atom_site_fract_z
In1 0.0000 0.0000 0.2476
W1 0.0000 0.5000 0.0000
Au1 0.0000 0.5000 0.5000
# Total magnetization in μB per formula unit: 0.00
# Energy above the lowest structure with this stoichiometry in eV/atom: 0.073
# Calculated formation energy in kJ/mol of formula units: 160